## Y11Zn9Ni4 (PBE)

Data for an optimized crystal structure of Y11Zn9Ni4.

a b c (Å): 13.812 20.863 3.553
angles (deg): 90.00 90.00 90.00
Space group Cmmm (No. 65)
Asymmetric unit:
Y (0.000, 0.000, 0.000) (multiplicity 2)
Y (0.000, 0.168, 0.000) (multiplicity 4)
Y (0.000, 0.372, 0.000) (multiplicity 4)
Y (0.199, 0.500, 0.000) (multiplicity 4)
Y (0.244, 0.170, 0.000) (multiplicity 8)
Zn (0.000, 0.500, 0.500) (multiplicity 2)
Zn (0.102, 0.266, 0.500) (multiplicity 8)
Zn (0.146, 0.071, 0.500) (multiplicity 8)
Ni (0.152, 0.400, 0.500) (multiplicity 8)

The crystal system is orthorhombic. The formation enthalpy at 0 K comes out at -387 meV/atom. The value obtained for the density of states at the Fermi level is 38.45 states/eV per cell.